In2AsOs: relaxed, PBE.

## Properties
Symmetry   No. 71
Energy relative to the elements   217 kJ/mol of formula units
D(E_F)   1.70 states/eV/cell
Size of the total moment   0.00 μB per formula unit
Crystal system   orthorhombic

abc: 5.3338 5.3338 5.3338
angles: 141.27 124.56 69.68
Fractional coordinates of all 4 atoms:
In1 0.2474 0.2474 0.0000
In2 0.7526 0.7526 0.0000
As1 0.5000 0.0000 0.5000
Os1 0.0000 0.5000 0.5000


InAsOs2: relaxed, PBE.

## Properties
Symmetry   No. 10
Polymorph energy (0 for the lowest one)   253.5 meV per atom
Energy relative to the elements   213 kJ/mol of formula units
D(E_F)   2.02 states/eV/cell
Size of the total moment   0.00 μB per formula unit
Crystal system   monoclinic

abc: 3.0205 4.0077 5.6308
angles: 90.00 104.11 90.00
Fractional coordinates of all 4 atoms:
In1 0.0000 0.0000 0.0000
As1 0.5000 0.0000 0.5000
Os1 0.3633 0.5000 0.7232
Os2 0.6367 0.5000 0.2768


In2AsOs: relaxed, PBE.

## Properties
Symmetry   No. 123
Energy relative to the elements   206 kJ/mol of formula units
D(E_F)   1.38 states/eV/cell
Size of the total moment   0.00 μB per formula unit
Crystal system   tetragonal

abc: 4.7376 4.7376 3.4059
angles: 90.00 90.00 90.00
Fractional coordinates of all 4 atoms:
In1 0.0000 0.5000 0.0000
In2 0.5000 0.0000 0.0000
As1 0.0000 0.0000 0.5000
Os1 0.5000 0.5000 0.5000